# 1
# MgSb2Br PBE optimized geometry
# Total moment: 0.00 Bohr magnetons per cell
# Formation energy from raw total energies: 56 meV/atom
# Energy above the most stable polymorph in this dataset: 468 meV/atom
# Total energy: -2.8218 eV/atom
# DOS at the Fermi energy: 11.0 states/eV per cell
data_MgSb2Br
_space_group_name_H-M_alt 'R -3 m'
_space_group_IT_number 166
_space_group_name_Hall '-R 3 2"'
_cell_length_a 3.5390
_cell_length_b 3.5390
_cell_length_c 28.9093
_cell_angle_alpha 90.00
_cell_angle_beta 90.00
_cell_angle_gamma 120.00
loop_
_atom_site_label
_atom_site_fract_x
_atom_site_fract_y
_atom_site_fract_z
Mg1 0.0000 0.0000 0.0000
Sb1 0.0000 0.0000 0.2533
Br1 0.0000 0.0000 0.5000

---

# 2
# MgSb2Br PBE optimized geometry
# Total moment: 0.00 Bohr magnetons per cell
# Formation energy from raw total energies: -62 meV/atom
# Energy above the most stable polymorph in this dataset: 350 meV/atom
# Total energy: -2.9397 eV/atom
# DOS at the Fermi energy: 1.7 states/eV per cell
data_MgSb2Br
_space_group_name_H-M_alt 'P m m m'
_space_group_IT_number 47
_cell_length_a 3.5395
_cell_length_b 5.3908
_cell_length_c 5.4569
_cell_angle_alpha 90.00
_cell_angle_beta 90.00
_cell_angle_gamma 90.00
loop_
_space_group_symop_operation_xyz
'x,y,z'
'-x,-y,-z'
'-x,-y,z'
'x,y,-z'
'x,-y,-z'
'-x,y,z'
'-x,y,-z'
'x,-y,z'
loop_
_atom_site_label
_atom_site_fract_x
_atom_site_fract_y
_atom_site_fract_z
Mg1 0.0000 0.0000 0.0000
Sb1 0.0000 0.5000 0.5000
Sb2 0.5000 0.0000 0.5000
Br1 0.5000 0.5000 0.0000

---

# 3
# MgSbBr6 PBE optimized geometry
# Total moment: 0.00 Bohr magnetons per cell
# Formation energy from raw total energies: -732 meV/atom
# Energy above the most stable polymorph in this dataset: 65 meV/atom
# Total energy: -2.7012 eV/atom
# DOS at the Fermi energy: 18.8 states/eV per cell
data_MgSbBr6
_space_group_name_H-M_alt 'R -3'
_space_group_IT_number 148
_space_group_name_Hall '-R 3'
_cell_length_a 6.8565
_cell_length_b 6.8565
_cell_length_c 18.3791
_cell_angle_alpha 90.00
_cell_angle_beta 90.00
_cell_angle_gamma 120.00
loop_
_atom_site_label
_atom_site_fract_x
_atom_site_fract_y
_atom_site_fract_z
Mg1 0.0000 0.0000 0.0000
Sb1 0.0000 0.0000 0.5000
Br1 0.0006 0.6598 0.7482

---

# 4
# MgSbBr4 PBE optimized geometry
# Total moment: 0.00 Bohr magnetons per cell
# Formation energy from raw total energies: 472 meV/atom
# Total energy: -1.5958 eV/atom
# DOS at the Fermi energy: 32.6 states/eV per cell
data_MgSbBr4
_space_group_name_H-M_alt 'F -4 3 m'
_space_group_IT_number 216
_space_group_name_Hall 'F -4 2 3'
_cell_length_a 8.8642
_cell_length_b 8.8642
_cell_length_c 8.8642
_cell_angle_alpha 90.00
_cell_angle_beta 90.00
_cell_angle_gamma 90.00
loop_
_atom_site_label
_atom_site_fract_x
_atom_site_fract_y
_atom_site_fract_z
Mg1 0.0000 0.0000 0.0000
Sb1 0.2500 0.2500 0.7500
Br1 0.1256 0.1256 0.3744